The following is a PBE calculation of a relaxed structure of CsIn2AgI8, from Alexandria via LeMat-Bulk.

- total DFT energy (no corrections) (eV/f.u.) = -29.4
- total magnetization (μB/cell) = 0.00

Lattice parameters (Å, degrees): 7.6753 7.6753 10.9114 90.00 90.00 120.00
Positions (direct):
1 I 0.3333 0.6667 0.9978
2 I 0.3155 0.3222 0.3302
3 I 0.6778 0.9933 0.3302
4 I 0.0067 0.6845 0.3302
5 I 0.6845 0.6778 0.6698
6 Cs 0.0000 0.0000 0.0000
7 In 0.6667 0.3333 0.2552
8 I 0.6667 0.3333 0.0022
9 I 0.9933 0.3155 0.6698
10 Ag 0.0000 0.0000 0.5000
11 I 0.3222 0.0067 0.6698
12 In 0.3333 0.6667 0.7448

The following is a PBE calculation of a relaxed structure of PaSnTe2C, from Alexandria via LeMat-Bulk.

- total DFT energy (no corrections) (eV/f.u.) = -31.1
- total magnetization (μB/cell) = 0.00

Lattice parameters (Å, degrees): 4.0942 4.0942 16.6359 90.00 90.00 90.00
Positions (direct):
1 Te 0.5000 0.0000 0.8968
2 C 0.0000 0.0000 0.5000
3 Te 0.0000 0.5000 0.6696
4 C 0.5000 0.5000 0.5000
5 Sn 0.5000 0.0000 0.1569
6 Sn 0.0000 0.5000 0.8431
7 Pa 0.0000 0.5000 0.4329
8 Te 0.5000 0.0000 0.3304
9 Pa 0.5000 0.0000 0.5671
10 Te 0.0000 0.5000 0.1032

The following is a PBE calculation of a relaxed structure of CdIn2W, from Alexandria via LeMat-Bulk.

- total DFT energy (no corrections) (eV/f.u.) = -17.1
- total magnetization (μB/cell) = 0.00
- calculated formation energy (kJ/mol of formula units) = 221

Lattice parameters (Å, degrees): 5.1153 2.9140 5.5229 90.36 90.00 90.00
Positions (direct):
1 W 0.5000 0.2500 0.2500
2 In 0.0000 0.5431 0.4919
3 In 0.0000 0.9569 0.0081
4 Cd 0.5000 0.7500 0.7500

The following is a PBE calculation of a relaxed structure of Sr2LiCd2, from Alexandria via LeMat-Bulk.

- total DFT energy (no corrections) (eV/f.u.) = -7.6
- total magnetization (μB/cell) = 0.00
- calculated formation energy (kJ/mol of formula units) = -46

Lattice parameters (Å, degrees): 6.4985 6.4985 6.2746 58.81 58.81 90.00
Positions (direct):
1 Cd 0.3379 0.3379 0.3241
2 Cd 0.6621 0.6621 0.6759
3 Sr 0.7500 0.2500 0.5000
4 Li 0.0000 0.0000 0.0000
5 Sr 0.2500 0.7500 0.5000